The following is a DFT calculation (PBE) of a geometry-optimized MnAg2Se structure.

- formation energy from raw total energies (eV per atom) = 0.102
- symmetry = P4/mmm, No. 123
- DFT total energy (eV/atom) = -4.487

Unit cell a=3.957 b=3.957 c=4.696 alpha=90.00 beta=90.00 gamma=90.00
Sites, in units of the cell vectors:
Mn (0.000, 0.000, 0.000)
Ag (0.000, 0.500, 0.500)
Ag (0.500, 0.000, 0.500)
Se (0.500, 0.500, 0.000)